# 1
# Nd6Te3Ir2I (PBE, optimized geometry)
# Size of the total moment ... 0.00 μB/cell
# Raw formation energy ... -13.237 eV/f.u.
# DOS at the Fermi energy ... 6.7 states/eV per cell
data_Nd6Te3Ir2I
_space_group_name_H-M_alt 'P 1'
_space_group_IT_number 1
_space_group_name_Hall 'P 1'
_cell_length_a 4.300
_cell_length_b 9.181
_cell_length_c 9.981
_cell_angle_alpha 104.71
_cell_angle_beta 102.44
_cell_angle_gamma 90.00
loop_
_atom_site_label
_atom_site_fract_x
_atom_site_fract_y
_atom_site_fract_z
Nd1 0.320 0.863 0.640
Nd2 0.676 0.566 0.352
Nd3 0.680 0.137 0.360
Nd4 0.023 0.276 0.046
Nd5 0.977 0.724 0.954
Nd6 0.324 0.434 0.648
Te1 0.500 0.500 0.000
Te2 0.846 0.155 0.692
Te3 0.154 0.845 0.308
Ir1 0.829 0.658 0.658
Ir2 0.171 0.342 0.342
I1 0.500 0.000 0.000

# 2
# NdEu2Cd (PBE, optimized geometry)
# Size of the total moment ... 14.93 μB/cell
# Energy of formation ... -0.5 eV/f.u.
# ΔE to the lowest computed polymorph ... 0 meV per atom
# DOS at the Fermi energy ... 9.9 states/eV per cell
data_NdEu2Cd
_space_group_name_H-M_alt 'P 1'
_space_group_IT_number 1
_space_group_name_Hall 'P 1'
_cell_length_a 3.823
_cell_length_b 3.823
_cell_length_c 9.422
_cell_angle_alpha 90.00
_cell_angle_beta 90.00
_cell_angle_gamma 90.00
loop_
_atom_site_label
_atom_site_fract_x
_atom_site_fract_y
_atom_site_fract_z
Eu1 0.000 0.000 0.785
Eu2 0.000 0.000 0.215
Nd1 0.500 0.500 0.500
Cd1 0.500 0.500 0.000

# 3
# LiAsH (PBE, optimized geometry)
# Size of the total moment ... 0.00 μB/cell
# ΔE to the lowest computed polymorph ... 22 meV per atom
# DOS at the Fermi energy ... 1.5 states/eV per cell
data_LiAsH
_space_group_name_H-M_alt 'P 1'
_space_group_IT_number 1
_space_group_name_Hall 'P 1'
_cell_length_a 2.914
_cell_length_b 4.512
_cell_length_c 6.877
_cell_angle_alpha 95.07
_cell_angle_beta 90.32
_cell_angle_gamma 90.02
loop_
_atom_site_label
_atom_site_fract_x
_atom_site_fract_y
_atom_site_fract_z
Li1 0.748 0.332 0.828
Li2 0.252 0.668 0.172
As1 0.752 0.168 0.209
As2 0.248 0.832 0.791
H1 0.756 0.270 0.429
H2 0.244 0.730 0.571

# 4
# Nb5Pd (PBE, optimized geometry)
# Size of the total moment ... 0.00 μB/cell
# Energy of formation ... -0.5 eV/f.u.
# ΔE to the lowest computed polymorph ... 28 meV per atom
# DOS at the Fermi energy ... 5.4 states/eV per cell
data_Nb5Pd
_space_group_name_H-M_alt 'P 1'
_space_group_IT_number 1
_space_group_name_Hall 'P 1'
_cell_length_a 4.626
_cell_length_b 4.635
_cell_length_c 5.493
_cell_angle_alpha 114.96
_cell_angle_beta 90.00
_cell_angle_gamma 90.00
loop_
_atom_site_label
_atom_site_fract_x
_atom_site_fract_y
_atom_site_fract_z
Nb1 0.500 0.832 0.665
Nb2 0.000 0.666 0.332
Nb3 0.500 0.500 0.000
Nb4 0.000 0.334 0.668
Nb5 0.500 0.168 0.335
Pd1 0.000 0.000 0.000